1.
Entry from OQMD: a relaxed Pm2SiO5 crystal (PBE-GGA).

```
data_Pm2SiO5
_chemical_formula_sum 'Pm8 Si4 O20'
_space_group_name_H-M_alt 'P 1 21/c 1'
_space_group_IT_number 14
_space_group_name_Hall '-P 2ybc'
_cell_length_a 9.2229
_cell_length_b 7.0639
_cell_length_c 6.8384
_cell_angle_alpha 90.00
_cell_angle_beta 107.62
_cell_angle_gamma 90.00
loop_
_atom_site_label
_atom_site_fract_x
_atom_site_fract_y
_atom_site_fract_z
_atom_site_occupancy
Pm1 0.0280 0.1222 0.2359 1
Pm2 0.3885 0.1470 0.0893 1
Si1 0.2968 0.5907 0.0446 1
O1 0.1142 0.6397 0.9925 1
O2 0.1194 0.1208 0.9531 1
O3 0.2989 0.0639 0.3629 1
O4 0.3614 0.0396 0.7500 1
O5 0.4049 0.7269 0.5639 1
```

- magnetic moment (μB/cell) = 0.00

***

2.
Entry from OQMD: a relaxed NdTcGe crystal (PBE-GGA).

```
data_NdTcGe
_chemical_formula_sum 'Nd4 Tc4 Ge4'
_space_group_name_H-M_alt 'F -4 3 m'
_space_group_IT_number 216
_space_group_name_Hall 'F -4 2 3'
_cell_length_a 6.7189
_cell_length_b 6.7189
_cell_length_c 6.7189
_cell_angle_alpha 90.00
_cell_angle_beta 90.00
_cell_angle_gamma 90.00
loop_
_atom_site_label
_atom_site_fract_x
_atom_site_fract_y
_atom_site_fract_z
_atom_site_occupancy
Nd1 0.0000 0.0000 0.0000 1
Tc1 0.2500 0.2500 0.2500 1
Ge1 0.2500 0.2500 0.7500 1
```

- magnetic moment (μB/cell) = 5.59

***

Number 1: total energy -8.2527 eV/atom. Number 2: total energy -5.6015 eV/atom.